i | {
  "formula": "Si2TeC",
  "functional": "GGA-PBE",
  "state": "relaxed",
  "spacegroup": "Fm-3m, No. 225",
  "magnetic_moment_mub_per_cell": 0.00,
  "crystal_system": "cubic",
  "lattice_angstrom": [[0.0000, 3.2026, 3.2026], [3.2026, 0.0000, 3.2026], [3.2026, 3.2026, 0.0000]],
  "species": ["C", "Te", "Si", "Si"],
  "fractional_positions": [[0.0000, 0.0000, 0.0000], [0.5000, 0.5000, 0.5000], [0.7500, 0.7500, 0.7500], [0.2500, 0.2500, 0.2500]]
}

ii | {
  "formula": "Si2TeC",
  "functional": "GGA-PBE",
  "state": "relaxed",
  "spacegroup": "I-42d, No. 122",
  "magnetic_moment_mub_per_cell": 0.00,
  "crystal_system": "tetragonal",
  "lattice_angstrom": [[5.8261, 0.0000, 0.0000], [0.0000, 5.8261, 0.0000], [2.9130, 2.9130, 3.9607]],
  "species": ["Si", "C", "Si", "Te", "Si", "Te", "C", "Si"],
  "fractional_positions": [[0.2327, 0.6250, 0.2500], [0.5000, 0.5000, 0.0000], [0.5173, 0.1250, 0.2500], [0.7500, 0.2500, 0.5000], [0.8750, 0.7673, 0.7500], [0.0000, 0.0000, 0.0000], [0.2500, 0.7500, 0.5000], [0.3750, 0.4827, 0.7500]]
}

Stability ranking, top and bottom: ii is the most stable and i is the least stable.

i | {
  "formula": "Th2SiC",
  "functional": "GGA-PBE",
  "state": "relaxed",
  "spacegroup": "R-3m, No. 166",
  "magnetic_moment_mub_per_cell": 0.00,
  "crystal_system": "trigonal",
  "lattice_angstrom": [[3.9173, 0.0000, 0.0000], [1.9587, 3.3925, 0.0000], [1.9587, 1.1308, 6.9110]],
  "species": ["C", "Th", "Si", "Th"],
  "fractional_positions": [[0.5000, 0.5000, 0.5000], [0.7619, 0.7619, 0.7144], [0.0000, 0.0000, 0.0000], [0.2381, 0.2381, 0.2856]]
}

ii | {
  "formula": "Th2SiC",
  "functional": "GGA-PBE",
  "state": "relaxed",
  "spacegroup": "Cmcm, No. 63",
  "magnetic_moment_mub_per_cell": 0.00,
  "crystal_system": "orthorhombic",
  "lattice_angstrom": [[3.9171, 0.0000, 0.0000], [0.0000, 3.9898, 0.0000], [0.0000, -1.9949, 11.1386]],
  "species": ["C", "Th", "Th", "Th", "Th", "Si", "Si", "C"],
  "fractional_positions": [[0.2500, 0.1936, 0.3873], [0.7500, 0.6950, 0.3900], [0.2500, 0.0822, 0.1643], [0.2500, 0.3050, 0.6100], [0.7500, 0.9178, 0.8357], [0.7500, 0.5324, 0.0648], [0.2500, 0.4676, 0.9352], [0.7500, 0.8064, 0.6127]]
}

Stability ranking, top and bottom: ii is the most stable and i is the least stable.

i | {
  "formula": "TiSi2C2",
  "functional": "GGA-PBE",
  "state": "relaxed",
  "spacegroup": "P4/mbm, No. 127",
  "magnetic_moment_mub_per_cell": 0.00,
  "crystal_system": "tetragonal",
  "lattice_angstrom": [[-0.3747, 3.9881, -5.1909], [-6.3207, -1.5727, -0.7521], [-0.7646, 2.2279, 1.7668]],
  "species": ["C", "C", "Si", "C", "C", "Si", "Si", "Si", "Ti", "Ti"],
  "fractional_positions": [[0.2661, 0.7661, 0.5000], [0.2339, 0.2661, 0.5000], [0.3797, 0.8797, 0.0000], [0.7661, 0.7339, 0.5000], [0.7339, 0.2339, 0.5000], [0.1203, 0.3797, 0.0000], [0.8797, 0.6203, 0.0000], [0.6203, 0.1203, 0.0000], [0.5000, 0.5000, 0.0000], [0.0000, 0.0000, 0.0000]]
}

ii | {
  "formula": "TiSi2C2",
  "functional": "GGA-PBE",
  "state": "relaxed",
  "spacegroup": "I4/mmm, No. 139",
  "magnetic_moment_mub_per_cell": 0.00,
  "crystal_system": "tetragonal",
  "lattice_angstrom": [[3.8184, 0.0000, 0.0000], [0.0000, 3.8184, 0.0000], [1.9092, 1.9092, 3.6446]],
  "species": ["Si", "C", "Si", "Ti", "C"],
  "fractional_positions": [[0.3353, 0.3353, 0.3293], [0.7500, 0.2500, 0.5000], [0.6647, 0.6647, 0.6707], [0.0000, 0.0000, 0.0000], [0.2500, 0.7500, 0.5000]]
}

Stability ranking, top and bottom: ii is the most stable and i is the least stable.

i | {
  "formula": "TiSiC3",
  "functional": "GGA-PBE",
  "state": "relaxed",
  "spacegroup": "Pm-3m, No. 221",
  "magnetic_moment_mub_per_cell": 0.00,
  "crystal_system": "cubic",
  "lattice_angstrom": [[4.0363, 0.0000, 0.0000], [0.0000, 4.0363, 0.0000], [0.0000, 0.0000, 4.0363]],
  "species": ["Ti", "C", "C", "Si", "C"],
  "fractional_positions": [[0.0000, 0.0000, 0.0000], [0.0000, 0.5000, 0.0000], [0.0000, 0.0000, 0.5000], [0.5000, 0.5000, 0.5000], [0.5000, 0.0000, 0.0000]]
}

ii | {
  "formula": "TiSiC3",
  "functional": "GGA-PBE",
  "state": "relaxed",
  "spacegroup": "Pm-3m, No. 221",
  "magnetic_moment_mub_per_cell": 0.00,
  "crystal_system": "cubic",
  "lattice_angstrom": [[3.7014, 0.0000, 0.0000], [0.0000, 3.7014, 0.0000], [0.0000, 0.0000, 3.7014]],
  "species": ["Si", "Ti", "C", "C", "C"],
  "fractional_positions": [[0.0000, 0.0000, 0.0000], [0.5000, 0.5000, 0.5000], [0.0000, 0.0000, 0.5000], [0.5000, 0.0000, 0.0000], [0.0000, 0.5000, 0.0000]]
}

Stability ranking, top and bottom: ii is the most stable and i is the least stable.

i | {
  "formula": "TiSi3C",
  "functional": "GGA-PBE",
  "state": "relaxed",
  "spacegroup": "Pm-3m, No. 221",
  "magnetic_moment_mub_per_cell": 1.36,
  "crystal_system": "cubic",
  "lattice_angstrom": [[-3.5884, -3.0072, 0.9224], [2.5619, -3.6060, -1.7899], [1.8250, -0.8508, 4.3262]],
  "species": ["Si", "Si", "C", "Ti", "Si"],
  "fractional_positions": [[0.0000, 0.0000, 0.5000], [0.0000, 0.5000, 0.0000], [0.5000, 0.5000, 0.5000], [0.0000, 0.0000, 0.0000], [0.5000, 0.0000, 0.0000]]
}

ii | {
  "formula": "TiSi3C",
  "functional": "GGA-PBE",
  "state": "relaxed",
  "spacegroup": "Pm-3m, No. 221",
  "magnetic_moment_mub_per_cell": 0.00,
  "crystal_system": "cubic",
  "lattice_angstrom": [[4.0274, 0.0000, 0.0000], [0.0000, 4.0274, 0.0000], [0.0000, 0.0000, 4.0274]],
  "species": ["Si", "Si", "C", "Ti", "Si"],
  "fractional_positions": [[0.0000, 0.5000, 0.0000], [0.0000, 0.0000, 0.5000], [0.0000, 0.0000, 0.0000], [0.5000, 0.5000, 0.5000], [0.5000, 0.0000, 0.0000]]
}

Stability ranking, top and bottom: ii is the most stable and i is the least stable.

i | {
  "formula": "V6SiC",
  "functional": "GGA-PBE",
  "state": "relaxed",
  "spacegroup": "P-1, No. 2",
  "magnetic_moment_mub_per_cell": 0.00,
  "crystal_system": "triclinic",
  "lattice_angstrom": [[-2.9399, 1.3640, -3.9445], [-0.9866, -3.3553, -3.7284], [-5.1235, -2.1562, -0.2110]],
  "species": ["V", "C", "V", "V", "V", "V", "Si", "V"],
  "fractional_positions": [[0.2169, 0.9917, 0.2309], [0.0000, 0.0000, 0.0000], [0.5630, 0.2161, 0.2311], [0.9903, 0.5619, 0.2329], [0.4370, 0.7839, 0.7689], [0.7831, 0.0083, 0.7691], [0.5000, 0.5000, 0.5000], [0.0097, 0.4381, 0.7671]]
}

ii | {
  "formula": "V6SiC",
  "functional": "GGA-PBE",
  "state": "relaxed",
  "spacegroup": "Pm-3, No. 200",
  "magnetic_moment_mub_per_cell": 0.00,
  "crystal_system": "cubic",
  "lattice_angstrom": [[4.5745, 0.0000, 0.0000], [0.0000, 4.5745, 0.0000], [0.0000, 0.0000, 4.5745]],
  "species": ["V", "V", "V", "V", "Si", "C", "V", "V"],
  "fractional_positions": [[0.0000, 0.5000, 0.7428], [0.5000, 0.2572, 0.0000], [0.5000, 0.7428, 0.0000], [0.7428, 0.0000, 0.5000], [0.0000, 0.0000, 0.0000], [0.5000, 0.5000, 0.5000], [0.2572, 0.0000, 0.5000], [0.0000, 0.5000, 0.2572]]
}

Stability ranking, top and bottom: ii is the most stable and i is the least stable.